No. 1
The following is a DFT calculation (GGA-PBE) of a relaxed structure of DyTmGaAu.

Geometry as POSCAR:
```
DyTmGaAu
1.0
4.498 0.000 0.000
0.000 1.879 5.551
0.000 -1.879 5.551
Dy Tm Ga Au
1 1 1 1
Cartesian
0.000 0.000 0.000
2.249 0.000 3.205
2.249 0.000 6.268
0.000 0.000 8.070
```

E_tot	-4.5760	eV per atom

No. 2
The following is a DFT calculation (GGA-PBE) of a relaxed structure of DyTm2GaAu4.

Geometry as POSCAR:
```
DyTm2GaAu4
1.0
2.468 1.425 8.203
-2.468 1.425 8.203
0.000 -2.850 8.203
Dy Tm Ga Au
1 2 1 4
Cartesian
0.000 0.000 0.000
0.000 0.000 5.940
0.000 0.000 18.669
0.000 0.000 12.305
0.000 0.000 2.961
0.000 0.000 9.076
0.000 0.000 15.533
0.000 0.000 21.648
```

E_tot	-4.4746	eV per atom

no.,V (Å³/atom),formation energy (eV/f.u.)
1,23.454,-2.93
2,21.634,-6.12